(1)
A plane-wave DFT calculation with PBE-GGA was carried out for an optimized crystal structure of Ac4LaCe. Values from VASP.

Results
The formation energy comes out at 371 meV/atom.

Structure (Quantum ESPRESSO input):
```
&SYSTEM
  ibrav = 0, nat = 6, ntyp = 3
/
ATOMIC_SPECIES
Ac 227.00 Ac.upf
La 138.91 La.upf
Ce 140.12 Ce.upf
ATOMIC_POSITIONS crystal
Ac 0.125 0.125 0.125
Ac 0.125 0.125 0.625
Ac 0.125 0.625 0.125
Ac 0.625 0.125 0.125
La 0.750 0.750 0.750
Ce 0.500 0.500 0.500
CELL_PARAMETERS angstrom
0.000 5.093 5.093
5.093 0.000 5.093
5.093 5.093 0.000
```

(2)
A plane-wave DFT calculation with PBE-GGA was carried out for an optimized crystal structure of TlGa2Pt. Values from VASP.

Results
For the relative energy among the computed polymorphs, the calculation gives 0.222 eV/atom. The formation energy comes out at 38 meV/atom.

Structure (Quantum ESPRESSO input):
```
&SYSTEM
  ibrav = 0, nat = 4, ntyp = 3
/
ATOMIC_SPECIES
Tl 204.38 Tl.upf
Ga 69.72 Ga.upf
Pt 195.08 Pt.upf
ATOMIC_POSITIONS crystal
Tl 0.000 0.000 0.000
Ga 0.250 0.250 0.250
Ga 0.750 0.750 0.750
Pt 0.500 0.500 0.500
CELL_PARAMETERS angstrom
0.000 3.390 3.390
3.390 0.000 3.390
3.390 3.390 0.000
```

(3)
A plane-wave DFT calculation with PBE-GGA was carried out for an optimized crystal structure of ScTiCu. Values from VASP.

Results
For the relative energy among the computed polymorphs, the calculation gives 0.030 eV/atom. The formation energy comes out at -53 meV/atom.

Structure (Quantum ESPRESSO input):
```
&SYSTEM
  ibrav = 0, nat = 12, ntyp = 3
/
ATOMIC_SPECIES
Sc 44.96 Sc.upf
Ti 47.87 Ti.upf
Cu 63.55 Cu.upf
ATOMIC_POSITIONS crystal
Sc 0.159 0.250 0.094
Sc 0.341 0.750 0.594
Sc 0.659 0.250 0.406
Sc 0.841 0.750 0.906
Ti 0.085 0.250 0.398
Ti 0.415 0.750 0.898
Ti 0.585 0.250 0.102
Ti 0.915 0.750 0.602
Cu 0.132 0.250 0.788
Cu 0.368 0.750 0.288
Cu 0.632 0.250 0.712
Cu 0.868 0.750 0.212
CELL_PARAMETERS angstrom
6.755 0.000 0.000
0.000 3.005 0.000
0.000 0.000 10.298
```

(4)
A plane-wave DFT calculation with PBE-GGA was carried out for an optimized crystal structure of Cs2NdAgCl6. Values from VASP.

Results
The value obtained for the formation energy without anion corrections is -1.84 eV/atom.

Structure (Quantum ESPRESSO input):
```
&SYSTEM
  ibrav = 0, nat = 10, ntyp = 4
/
ATOMIC_SPECIES
Cs 132.91 Cs.upf
Nd 144.24 Nd.upf
Ag 107.87 Ag.upf
Cl 35.45 Cl.upf
ATOMIC_POSITIONS crystal
Cs 0.250 0.250 0.250
Cs 0.750 0.750 0.750
Nd 0.000 0.000 0.000
Ag 0.500 0.500 0.500
Cl 0.248 0.248 0.752
Cl 0.248 0.752 0.248
Cl 0.248 0.752 0.752
Cl 0.752 0.248 0.248
Cl 0.752 0.248 0.752
Cl 0.752 0.752 0.248
CELL_PARAMETERS angstrom
0.000 5.509 5.509
5.509 0.000 5.509
5.509 5.509 0.000
```